A geometry-optimized MgZnW2 structure, computed with PBE.

Summary:
Energy of formation from the pure elements = 0.290 eV per atom
M_tot = 0.00 μB/cell
SG = No. 99
D(E_F) = 3.23 states/eV/f.u.
Total energy = -6.90 eV per atom

Cell: 3.298 3.298 6.228 Å, 90.00 90.00 90.00°
Fractional positions:
Mg (0.500, 0.500, 0.739)
W (0.000, 0.000, 0.037)
W (0.500, 0.500, 0.227)
Zn (0.000, 0.000, 0.497)